Below is a geometry-optimized La8Pm2Pr structure, with properties calculated at the PBE-GGA level.

## Properties
ΔE_f ... 0.16 eV per atom
Density of states at the Fermi level ... 1.70 states/eV per atom
Total magnetic moment ... 0.000 μB/f.u.
Symmetry ... P4/mmm, No. 123
Density ... 6.21 g cm⁻³

Unit cell a=5.2127 b=5.2127 c=15.1724 alpha=90.00 beta=90.00 gamma=90.00
Fractional coordinates of all 11 atoms:
La 0.0000 0.0000 0.1753
La 0.0000 0.0000 0.8247
La 0.0000 0.5000 0.0000
La 0.0000 0.5000 0.3456
La 0.0000 0.5000 0.6544
La 0.5000 0.0000 0.0000
La 0.5000 0.0000 0.3456
La 0.5000 0.0000 0.6544
Pm 0.5000 0.5000 0.1775
Pm 0.5000 0.5000 0.8225
Pr 0.5000 0.5000 0.5000